First-principles (PBE) data for a geometry-optimized LaNdSm2Y5 structure, as listed in the Alexandria database.

It has space group I4/mcm (No. 140), with a = 8.791 Å, b = 8.791 Å, c = 15.678 Å, α = 90.00°, β = 90.00° and γ = 90.00°. The asymmetric unit holds La at (0.000, 0.000, 0.250), Nd at (0.000, 0.500, 0.250), Sm at (0.117, 0.383, 0.000), Y at (0.000, 0.000, 0.000) and Y at (0.206, 0.294, 0.366).

The calculation puts the final energy at -197.3 eV/cell. The formation energy from the elements is 0.24 eV per atom.



First-principles (PBE) data for a geometry-optimized La2NdSm2Y4 structure, as listed in the Alexandria database.

It has space group C2/m (No. 12), with a = 19.021 Å, b = 3.669 Å, c = 9.728 Å, α = 90.00°, β = 115.76° and γ = 90.00°. The asymmetric unit holds La at (0.166, 0.000, 0.499), Nd at (0.000, 0.500, 0.500), Sm at (0.148, 0.500, 0.164), Y at (0.020, 0.000, 0.836) and Y at (0.186, 0.500, 0.837).

The calculation puts the final energy at -99.9 eV/cell. The formation energy from the elements is 0.00 eV per atom.



First-principles (PBE) data for a geometry-optimized La2Nd2SmY6 structure, as listed in the Alexandria database.

It has space group Cmmm (No. 65), with a = 5.765 Å, b = 12.198 Å, c = 10.647 Å, α = 90.00°, β = 90.00° and γ = 90.00°. The asymmetric unit holds La at (0.000, 0.212, 0.000), Nd at (0.000, 0.129, 0.500), Sm at (0.000, 0.500, 0.000), Y at (0.000, 0.000, 0.204) and Y at (0.000, 0.350, 0.301).

The calculation puts the final energy at -122.9 eV/cell. The formation energy from the elements is 0.13 eV per atom.



First-principles (PBE) data for a geometry-optimized La2Nd2Sm2Y structure, as listed in the Alexandria database.

It has space group C2/m (No. 12), with a = 11.599 Å, b = 5.200 Å, c = 8.214 Å, α = 90.00°, β = 98.21° and γ = 90.00°. The asymmetric unit holds La at (0.143, 0.000, 0.427), Nd at (0.215, 0.500, 0.140), Sm at (0.071, 0.500, 0.716) and Y at (0.000, 0.000, 0.000).

The calculation puts the final energy at -70.3 eV/cell. The formation energy from the elements is 0.02 eV per atom.